A plane-wave DFT calculation with PBE was carried out for a geometry-optimized Li4BIr2 structure.

Calculated values
* density of states at the Fermi level: 0.25 states/eV per atom
* ΔE_f: -169.4 meV/atom
* DFT total energy: -33.2 eV per cell
* space-group type: Cmmm, No. 65

Cell and atoms, written as extended XYZ:
```
7
Lattice="3.897 -4.110 0.000 3.897 4.110 0.000 0.000 0.000 2.967" Properties=species:S:1:pos:R:3 pbc="T T T"
Li 1.948 2.055 1.483
Li 1.321 0.000 0.000
Li 1.948 -2.055 1.483
Li 6.473 0.000 0.000
B 3.897 0.000 1.483
Ir 3.897 1.466 0.000
Ir 3.897 -1.466 0.000
```

***

A plane-wave DFT calculation with PBE was carried out for a geometry-optimized ScCu2Sn2 structure.

Calculated values
* density of states at the Fermi level: 0.40 states/eV per atom
* ΔE_f: -84.3 meV/atom
* DFT total energy: -23.0 eV per cell
* space-group type: I4/mmm, No. 139

Cell and atoms, written as extended XYZ:
```
5
Lattice="-2.190 2.190 5.240 2.190 -2.190 5.240 2.190 2.190 -5.240" Properties=species:S:1:pos:R:3 pbc="T T T"
Sc 0.000 0.000 0.000
Cu 0.000 0.000 4.094
Cu 0.000 0.000 6.386
Sn 2.190 0.000 2.620
Sn 0.000 2.190 2.620
```

***

A plane-wave DFT calculation with PBE was carried out for a geometry-optimized InPt structure.

Calculated values
* density of states at the Fermi level: 0.38 states/eV per atom
* ΔE_f: -346.5 meV/atom
* DFT total energy: -37.9 eV per cell
* space-group type: I4/m, No. 87

Cell and atoms, written as extended XYZ:
```
8
Lattice="-4.180 4.180 2.295 4.180 -4.180 2.295 4.180 4.180 -2.295" Properties=species:S:1:pos:R:3 pbc="T T T"
In 2.317 0.012 0.000
In 4.168 -1.863 2.295
In 0.012 6.043 0.000
In 1.863 4.168 2.295
Pt 5.491 2.650 0.000
Pt 2.650 2.869 0.000
Pt 1.530 1.311 2.295
Pt -1.311 1.530 2.295
```

***

A plane-wave DFT calculation with PBE was carried out for a geometry-optimized SrIn6Ag6 structure.

Calculated values
* density of states at the Fermi level: 0.28 states/eV per atom
* ΔE_f: -166.9 meV/atom
* DFT total energy: -37.4 eV per cell
* space-group type: Immm, No. 71

Cell and atoms, written as extended XYZ:
```
13
Lattice="-2.923 4.937 4.992 2.923 -4.937 4.992 2.923 4.937 -4.992" Properties=species:S:1:pos:R:3 pbc="T T T"
Sr 0.000 0.000 0.000
In 2.923 0.000 1.952
In 0.000 3.434 0.000
In 0.000 0.000 3.492
In 0.000 0.000 6.492
In 0.000 6.439 0.000
In 0.000 4.937 3.040
Ag 1.461 2.468 -2.496
Ag 1.461 -2.468 2.496
Ag 2.923 2.250 0.000
Ag -1.461 2.468 2.496
Ag 1.461 2.468 2.496
Ag 0.000 2.687 4.992
```

***

A plane-wave DFT calculation with PBE was carried out for a geometry-optimized KBAsSe2 structure.

Calculated values
* density of states at the Fermi level: 0.52 states/eV per atom
* offset from the most stable computed form: 0.000 eV per formula unit
* DFT total energy: -17.9 eV per cell
* space-group type: P4/mmm, No. 123
* E_form (uncorrected): 141 kJ/mol of formula units

Cell and atoms, written as extended XYZ:
```
5
Lattice="5.013 0.000 0.000 0.000 5.013 0.000 0.000 0.000 4.214" Properties=species:S:1:pos:R:3 pbc="T T T"
K 0.000 0.000 0.000
B 2.507 2.507 2.107
As 2.507 2.507 0.000
Se 0.000 2.507 2.107
Se 2.507 0.000 2.107
```

***

A plane-wave DFT calculation with PBE was carried out for a geometry-optimized CaTe2Br structure.

Calculated values
* density of states at the Fermi level: 0.29 states/eV per atom
* offset from the most stable computed form: 0.415 eV per formula unit
* DFT total energy: -13.7 eV per cell
* space-group type: I4/mmm, No. 139
* E_form (uncorrected): -365 kJ/mol of formula units

Cell and atoms, written as extended XYZ:
```
4
Lattice="-2.186 2.186 6.267 2.186 -2.186 6.267 2.186 2.186 -6.267" Properties=species:S:1:pos:R:3 pbc="T T T"
Ca 0.000 0.000 0.000
Te 2.186 0.000 3.134
Te 0.000 2.186 3.134
Br 0.000 0.000 6.267
```